PBE LaSmMgIr, optimized geometry; M_tot = 0.00 μB/f.u.; SG = F-43m; calculated total energy = -5.35 eV per atom; ΔE_f = -0.32 eV per atom
1.0
0.000 3.679 3.679
3.679 0.000 3.679
3.679 3.679 0.000
La Sm Mg Ir
1 1 1 1
Direct
0.000 0.000 0.000
0.500 0.500 0.500
0.250 0.250 0.250
0.750 0.750 0.750